(1)
DFT (PBE) results for a geometry-optimized Na4Cd2Si3O10 structure.

Lattice parameters (Å, degrees): 5.8303 5.8303 17.9199 98.43 98.43 60.97
Element x y z (fractional)
Na (0.0704, 0.2764, 0.2424)
Na (0.1819, 0.3254, 0.5599)
Na (0.2764, 0.0704, 0.7424)
Na (0.3254, 0.1819, 0.0599)
Na (0.6746, 0.8181, 0.9401)
Na (0.7236, 0.9296, 0.2576)
Na (0.8181, 0.6746, 0.4401)
Na (0.9296, 0.7236, 0.7576)
Cd (0.3039, 0.5006, 0.9147)
Cd (0.4994, 0.6961, 0.5853)
Cd (0.5006, 0.3039, 0.4147)
Cd (0.6961, 0.4994, 0.0853)
Si (0.0412, 0.8284, 0.1016)
Si (0.1716, 0.9588, 0.3984)
Si (0.3816, 0.6184, 0.2500)
Si (0.6184, 0.3816, 0.7500)
Si (0.8284, 0.0412, 0.6016)
Si (0.9588, 0.1716, 0.8984)
O (0.0418, 0.1118, 0.1147)
O (0.1118, 0.0418, 0.6147)
O (0.1155, 0.7057, 0.1873)
O (0.1474, 0.2486, 0.4275)
O (0.2486, 0.1474, 0.9275)
O (0.2716, 0.6052, 0.0481)
O (0.2943, 0.8845, 0.3127)
O (0.3639, 0.4166, 0.7866)
O (0.3948, 0.7284, 0.4519)
O (0.4166, 0.3639, 0.2866)
O (0.5834, 0.6361, 0.7134)
O (0.6052, 0.2716, 0.5481)
O (0.6361, 0.5834, 0.2134)
O (0.7057, 0.1155, 0.6873)
O (0.7284, 0.3948, 0.9519)
O (0.7514, 0.8526, 0.0725)
O (0.8526, 0.7514, 0.5725)
O (0.8845, 0.2943, 0.8127)
O (0.8882, 0.9582, 0.3853)
O (0.9582, 0.8882, 0.8853)

Output
Formation energy from raw total energies ... -2173.2 meV per atom
D(E_F) ... 0.00 states/eV/f.u.


(2)
DFT (PBE) results for a geometry-optimized Na2Cd3Si3O10 structure.

Lattice parameters (Å, degrees): 8.7944 8.7944 11.1534 94.17 94.17 34.31
Element x y z (fractional)
Na (0.1888, 0.7154, 0.5321)
Na (0.2846, 0.8112, 0.9679)
Na (0.7154, 0.1888, 0.0321)
Na (0.8112, 0.2846, 0.4679)
Cd (0.0000, 0.5000, 0.5000)
Cd (0.0537, 0.6297, 0.7949)
Cd (0.3703, 0.9463, 0.7051)
Cd (0.5000, 0.0000, 0.0000)
Cd (0.6297, 0.0537, 0.2949)
Cd (0.9463, 0.3703, 0.2051)
Si (0.1574, 0.5415, 0.1016)
Si (0.1803, 0.8197, 0.2500)
Si (0.4585, 0.8426, 0.3984)
Si (0.5415, 0.1574, 0.6016)
Si (0.8197, 0.1803, 0.7500)
Si (0.8426, 0.4585, 0.8984)
O (0.0317, 0.0597, 0.6522)
O (0.0597, 0.0317, 0.1522)
O (0.1516, 0.1635, 0.3959)
O (0.1635, 0.1516, 0.8959)
O (0.2467, 0.3147, 0.1712)
O (0.2910, 0.4124, 0.9678)
O (0.3147, 0.2467, 0.6712)
O (0.3246, 0.5513, 0.1732)
O (0.4124, 0.2910, 0.4678)
O (0.4487, 0.6754, 0.3268)
O (0.5513, 0.3246, 0.6732)
O (0.5876, 0.7090, 0.5322)
O (0.6754, 0.4487, 0.8268)
O (0.6853, 0.7533, 0.3288)
O (0.7090, 0.5876, 0.0322)
O (0.7533, 0.6853, 0.8288)
O (0.8365, 0.8484, 0.1041)
O (0.8484, 0.8365, 0.6041)
O (0.9403, 0.9683, 0.8478)
O (0.9683, 0.9403, 0.3478)

Output
Formation energy from raw total energies ... -2104.9 meV per atom
D(E_F) ... 0.00 states/eV/f.u.